GGA-PBE ZnFe3Sb, relaxed; V = 17.57 Å³/atom; density of states at the Fermi level = 7.72 states/eV/cell; energy = -5.24 eV per atom; M_tot = 8.07 Bohr magnetons per cell; space group = Pm-3m (221)
1.0
-1.2031 -4.2733 -0.2326
4.2794 -1.2040 -0.0163
-0.0474 -0.2283 4.4394
Fe Sb Zn
3 1 1
direct
0.5000 0.0000 0.0000
0.0000 0.5000 0.0000
0.0000 0.0000 0.5000
0.5000 0.5000 0.5000
0.0000 0.0000 0.0000


GGA-PBE ZnFeSb2, relaxed; V = 21.15 Å³/atom; density of states at the Fermi level = 4.19 states/eV/cell; energy = -3.91 eV per atom; M_tot = 2.78 Bohr magnetons per cell; space group = F-43m (216)
1.0
4.9274 0.0000 0.0000
2.4637 4.2673 0.0000
2.4637 1.4224 4.0232
Fe Sb Zn
1 2 1
direct
0.5000 0.5000 0.5000
0.7500 0.7500 0.7500
0.0000 0.0000 0.0000
0.2500 0.2500 0.2500


GGA-PBE ZnFeSb6, relaxed; V = 26.15 Å³/atom; density of states at the Fermi level = 9.06 states/eV/cell; energy = -4.28 eV per atom; M_tot = 0.37 Bohr magnetons per cell; space group = C2/m (12)
1.0
7.6491 -0.0897 -2.6861
-3.8319 6.6339 -2.6532
0.0399 0.1169 8.2165
Sb Zn Fe
12 2 2
direct
0.4982 0.8255 0.6411
0.6433 0.5069 0.8295
0.3226 0.1862 0.8295
0.6774 0.8138 0.1705
0.1497 0.6372 0.7869
0.8156 0.1429 0.6411
0.5018 0.1745 0.3589
0.8503 0.3628 0.2131
0.1576 0.3202 0.4778
0.1844 0.8571 0.3589
0.3567 0.4931 0.1705
0.8424 0.6798 0.5222
0.0000 0.5000 0.0000
0.5000 0.0000 0.0000
0.5000 0.5000 0.5000
0.0000 0.0000 0.5000


GGA-PBE ZnFeSb2, relaxed; V = 21.89 Å³/atom; density of states at the Fermi level = 2.49 states/eV/cell; energy = -4.29 eV per atom; M_tot = 1.73 Bohr magnetons per cell; space group = Cm (8)
1.0
-2.9833 -3.3221 -0.4924
-0.9727 -3.7024 2.3506
-5.0133 1.3534 3.7265
Zn Sb Fe
1 2 1
direct
0.5127 0.5127 0.4371
0.7370 0.7370 0.6488
0.9971 0.9971 0.1019
0.2533 0.2533 0.3122


GGA-PBE ZnFeSb2, relaxed; V = 26.11 Å³/atom; density of states at the Fermi level = 5.39 states/eV/cell; energy = -4.11 eV per atom; M_tot = 0.00 Bohr magnetons per cell; space group = I-42d (122)
1.0
5.8782 0.0000 0.0000
0.0000 5.8782 0.0000
2.9391 2.9391 6.0459
Sb Fe Zn
4 2 2
direct
0.3750 0.4171 0.7500
0.8750 0.8329 0.7500
0.5829 0.1250 0.2500
0.1671 0.6250 0.2500
0.2500 0.7500 0.5000
0.5000 0.5000 0.0000
0.7500 0.2500 0.5000
0.0000 0.0000 0.0000


GGA-PBE ZnFeSb2, relaxed; V = 19.88 Å³/atom; density of states at the Fermi level = 3.61 states/eV/cell; energy = -4.09 eV per atom; M_tot = 2.38 Bohr magnetons per cell; space group = Cmmm (65)
1.0
4.8627 0.0100 0.0000
-0.9402 4.7710 0.0000
0.0000 0.0000 3.4259
Zn Sb Fe
1 2 1
direct
0.5000 0.0000 0.5000
0.5000 0.5000 0.0000
0.0000 0.0000 0.0000
0.0000 0.5000 0.5000


GGA-PBE ZrFe6Sb2, relaxed; V = 14.92 Å³/atom; density of states at the Fermi level = 9.17 states/eV/cell; energy = -7.18 eV per atom; M_tot = 10.51 Bohr magnetons per cell; space group = P-62m (189)
1.0
-2.0584 6.7846 1.4124
-3.0727 -5.5165 3.5198
2.0765 0.1905 2.1113
Fe Sb Zr
6 2 1
direct
0.3059 0.3059 0.0000
0.6377 0.6377 0.5000
0.0000 0.6941 0.0000
0.0000 0.3623 0.5000
0.6941 0.0000 0.0000
0.3623 0.0000 0.5000
0.6667 0.3333 0.0000
0.3333 0.6667 0.0000
0.0000 0.0000 0.5000


GGA-PBE ZrFeSb2, relaxed; V = 21.15 Å³/atom; density of states at the Fermi level = 2.21 states/eV/cell; energy = -6.47 eV per atom; M_tot = 2.46 Bohr magnetons per cell; space group = P4mm (99)
1.0
3.7943 0.0000 0.0000
0.0000 3.7943 0.0000
0.0000 0.0000 5.8752
Zr Fe Sb
1 1 2
direct
0.0000 0.0000 0.4752
0.5000 0.5000 0.7802
0.5000 0.5000 0.2905
0.0000 0.0000 0.9541


GGA-PBE ZrFeSb2, relaxed; V = 20.45 Å³/atom; density of states at the Fermi level = 3.26 states/eV/cell; energy = -6.38 eV per atom; M_tot = 2.25 Bohr magnetons per cell; space group = P4/mmm (123)
1.0
-4.8367 -5.0594 -3.0719
3.6367 2.2765 -2.0759
1.3293 -3.1517 -1.1264
Fe Sb Zr
1 2 1
direct
0.5000 0.5000 0.0000
0.0000 0.0000 0.0000
0.5000 0.0000 0.5000
0.0000 0.5000 0.5000


GGA-PBE ZrFeSb2, relaxed; V = 20.80 Å³/atom; density of states at the Fermi level = 4.21 states/eV/cell; energy = -6.29 eV per atom; M_tot = 2.72 Bohr magnetons per cell; space group = R-3m (166)
1.0
-3.9000 -6.7680 4.2168
-0.7027 -7.3302 4.9570
-2.4780 -5.1762 6.7724
Sb Fe Zr
2 1 1
direct
0.0104 0.0104 0.0104
0.4896 0.4896 0.4896
0.7500 0.7500 0.7500
0.2500 0.2500 0.2500


GGA-PBE Zr2FeSb2, relaxed; V = 20.34 Å³/atom; density of states at the Fermi level = 2.43 states/eV/cell; energy = -6.99 eV per atom; M_tot = 0.00 Bohr magnetons per cell; space group = P4/mbm (127)
1.0
-5.8380 -1.4138 2.7616
3.0255 -1.2917 5.7346
-0.4833 4.4533 1.2581
Sb Fe Zr
4 2 4
direct
0.6535 0.1535 0.0000
0.3465 0.8465 0.0000
0.1535 0.3465 0.0000
0.8465 0.6535 0.0000
0.5000 0.5000 0.0000
0.0000 0.0000 0.0000
0.8396 0.3396 0.5000
0.3396 0.1604 0.5000
0.1604 0.6604 0.5000
0.6604 0.8396 0.5000


GGA-PBE ZrFeSb2, relaxed; V = 21.20 Å³/atom; density of states at the Fermi level = 1.83 states/eV/cell; energy = -6.10 eV per atom; M_tot = 2.06 Bohr magnetons per cell; space group = F-43m (216)
1.0
-3.1803 3.5338 1.3106
-1.1672 0.6289 4.7500
1.6022 3.9832 2.4263
Fe Sb Zr
1 2 1
direct
0.5000 0.5000 0.5000
0.0000 0.0000 0.0000
0.2500 0.2500 0.2500
0.7500 0.7500 0.7500